A geometry-optimized ScTlPb structure, computed with PBE-GGA.

abc: 4.531 4.602 7.708
angles: 90.00 106.72 90.00
Sites, in units of the cell vectors:
Pb: 0.270 0.735 0.790
Pb: 0.452 0.236 0.151
Sc: 0.795 0.235 0.842
Sc: 0.105 0.236 0.454
Tl: 0.951 0.736 0.149
Tl: 0.625 0.736 0.496

The offset from the most stable computed form comes out at 24 meV/atom. For the total moment, the calculation gives 0.0 Bohr magnetons per cell. The value obtained for the formation enthalpy at 0 K is -0.172 eV/atom. The symmetry is Pm. The total energy is -25.845 eV per cell.

---

A geometry-optimized Sc7Tl4Pb structure, computed with PBE-GGA.

abc: 5.468 8.996 7.246
angles: 81.59 67.83 72.31
Sites, in units of the cell vectors:
Tl: 0.428 0.775 0.370
Tl: 0.715 0.663 0.907
Tl: 0.285 0.337 0.093
Tl: 0.572 0.225 0.630
Sc: 0.500 0.000 0.000
Sc: 0.925 0.322 0.828
Sc: 0.349 0.574 0.728
Sc: 0.209 0.125 0.457
Sc: 0.651 0.426 0.272
Sc: 0.075 0.678 0.172
Sc: 0.791 0.875 0.543
Pb: 0.000 0.000 0.000

For the total moment, the calculation gives 2.1 Bohr magnetons per cell. The value obtained for the formation enthalpy at 0 K is -0.035 eV/atom. The symmetry is C2/m. The total energy is -57.911 eV per cell.

---

A geometry-optimized Sc12Tl3Pb structure, computed with PBE-GGA.

abc: 4.536 4.536 18.124
angles: 90.00 90.00 90.00
Sites, in units of the cell vectors:
Tl: 0.000 0.000 0.500
Tl: 0.000 0.000 0.251
Tl: 0.000 0.000 0.749
Sc: 0.500 0.500 0.000
Sc: 0.500 0.500 0.251
Sc: 0.500 0.000 0.625
Sc: 0.000 0.500 0.625
Sc: 0.500 0.000 0.375
Sc: 0.500 0.000 0.874
Sc: 0.500 0.500 0.749
Sc: 0.500 0.500 0.500
Sc: 0.000 0.500 0.375
Sc: 0.000 0.500 0.126
Sc: 0.000 0.500 0.874
Sc: 0.500 0.000 0.126
Pb: 0.000 0.000 0.000

For the total moment, the calculation gives 7.3 Bohr magnetons per cell. The value obtained for the formation enthalpy at 0 K is -0.225 eV/atom. The symmetry is P4/mmm. The total energy is -90.384 eV per cell.

---

A geometry-optimized Sc3Tl2Pb structure, computed with PBE-GGA.

abc: 3.488 5.241 8.282
angles: 108.45 90.00 90.00
Sites, in units of the cell vectors:
Pb: 0.000 0.000 0.000
Sc: 0.500 0.500 0.000
Sc: 0.500 0.166 0.333
Sc: 0.500 0.834 0.667
Tl: 0.000 0.331 0.662
Tl: 0.000 0.669 0.338

For the total moment, the calculation gives 0.0 Bohr magnetons per cell. The value obtained for the formation enthalpy at 0 K is -0.251 eV/atom. The symmetry is Cmmm. The total energy is -28.941 eV per cell.

---

A geometry-optimized ScTlPb3 structure, computed with PBE-GGA.

abc: 5.769 5.769 5.769
angles: 90.00 90.00 90.00
Sites, in units of the cell vectors:
Sc: 0.500 0.500 0.500
Pb: 0.000 0.500 0.000
Pb: 0.500 0.000 0.000
Pb: 0.000 0.000 0.500
Tl: 0.000 0.000 0.000

The offset from the most stable computed form comes out at 551 meV/atom. For the total moment, the calculation gives 0.0 Bohr magnetons per cell. The value obtained for the formation enthalpy at 0 K is 0.734 eV/atom. The symmetry is Pm-3m. The total energy is -16.152 eV per cell.

---

A geometry-optimized Sc5Tl4Pb structure, computed with PBE-GGA.

abc: 3.454 3.454 19.869
angles: 90.00 90.00 90.00
Sites, in units of the cell vectors:
Sc: 0.500 0.500 0.897
Sc: 0.500 0.500 0.302
Sc: 0.500 0.500 0.103
Sc: 0.500 0.500 0.698
Sc: 0.500 0.500 0.500
Tl: 0.000 0.000 0.599
Tl: 0.000 0.000 0.203
Tl: 0.000 0.000 0.797
Tl: 0.000 0.000 0.401
Pb: 0.000 0.000 0.000

For the total moment, the calculation gives 0.3 Bohr magnetons per cell. The value obtained for the formation enthalpy at 0 K is -0.264 eV/atom. The symmetry is P4/mmm. The total energy is -47.475 eV per cell.